First-principles (GGA+U) data for a geometry-optimized CoGePO2 structure, as listed in Alexandria via LeMat-Bulk.

Cell lengths 3.6660, 3.6660, 4.7811 Å; angles 90.00, 90.00, 90.00 degrees
Last column: nearest neighbours and their distance in Å.
Positions (direct):
1 O 0.0000 0.5000 0.0000  2 Co 1.83
2 O 0.5000 0.0000 0.0000  2 Co 1.83
3 Co 0.0000 0.0000 0.0000  4 O 1.83
4 P 0.0000 0.0000 0.5000  2 Co 2.39, 4 Ge 2.59
5 Ge 0.5000 0.5000 0.5000  4 P 2.59

* Fermi-level density of states: 0.46 states/eV per atom
* space group: P4/mmm
* distance to the lowest polymorph of the same formula: 107 meV/atom